Entry 1:
{
  "formula": "LiSc2Au6",
  "functional": "PBE-GGA",
  "state": "relaxed",
  "magmom_total_mub_per_fu": 0.00,
  "vol_a3_per_atom": 18.32,
  "total_energy_ev_per_atom": -4.393,
  "e_form_mev_per_atom": -588,
  "n_ef_per_ev_cell": 8.59,
  "spacegroup": "C2/c, No. 15",
  "lattice": [[-0.4507, 3.9802, 3.0666], [6.3337, -1.7858, 5.0930], [6.5761, 4.2895, -2.7567]],
  "species": ["Li", "Li", "Sc", "Sc", "Sc", "Sc", "Au", "Au", "Au", "Au", "Au", "Au", "Au", "Au", "Au", "Au", "Au", "Au"],
  "fractional_positions": [[0.2500, 0.1238, 0.8762], [0.7500, 0.8762, 0.1238], [0.4208, 0.5378, 0.7902], [0.0792, 0.2098, 0.4622], [0.5792, 0.4622, 0.2098], [0.9208, 0.7902, 0.5378], [0.4790, 0.6878, 0.4233], [0.0210, 0.5767, 0.3122], [0.5210, 0.3122, 0.5767], [0.9790, 0.4233, 0.6878], [0.6351, 0.1016, 0.3442], [0.8649, 0.6558, 0.8984], [0.3649, 0.8984, 0.6558], [0.1351, 0.3442, 0.1016], [0.3221, 0.7687, 0.0151], [0.1779, 0.9849, 0.2313], [0.6779, 0.2313, 0.9849], [0.8221, 0.0151, 0.7687]]
}

***

Entry 2:
{
  "formula": "Pm3Al2Ir4",
  "functional": "PBE-GGA",
  "state": "relaxed",
  "magmom_total_mub_per_fu": 0.00,
  "vol_a3_per_atom": 20.94,
  "total_energy_ev_per_atom": -7.115,
  "e_form_mev_per_atom": -762,
  "n_ef_per_ev_cell": 4.75,
  "spacegroup": "C2/m, No. 12",
  "lattice": [[-1.6145, 3.2882, 1.9797], [-3.2284, -4.6183, 0.6589], [5.5142, -1.2679, 6.6029]],
  "species": ["Pm", "Pm", "Pm", "Al", "Al", "Ir", "Ir", "Ir", "Ir"],
  "fractional_positions": [[0.3792, 0.7584, 0.6203], [0.0000, 0.0000, 0.0000], [0.6208, 0.2416, 0.3797], [0.3191, 0.6382, 0.2160], [0.6809, 0.3618, 0.7840], [0.7165, 0.4330, 0.0888], [0.0926, 0.1852, 0.6310], [0.9074, 0.8148, 0.3690], [0.2835, 0.5670, 0.9112]]
}